1.
VASP calculation (meta-GGA SCAN) on a PBEsol-optimized structure of ZnNiPt2.

Lattice parameters (Å, degrees): 2.7476 3.5522 5.5013 90.00 90.00 90.00
Space group Pmmm (No. 47)
Inequivalent atoms, fractional coordinates:
Zn (0.0000, 0.0000, 0.0000) (multiplicity 1)
Ni (0.0000, 0.0000, 0.5000) (multiplicity 1)
Pt (0.5000, 0.5000, 0.2551) (multiplicity 2)

Output
The calculated formation energy comes out at -374.3 meV per atom. The calculated density comes out at 15.904 g/cm³. The density of states at the Fermi level comes out at 1.90 states/eV per cell.

2.
VASP calculation (meta-GGA SCAN) on a PBEsol-optimized structure of Zn2NiPt.

Lattice parameters (Å, degrees): 2.8024 4.2503 4.3423 90.00 90.00 90.00
Space group Pmm2 (No. 25)
Inequivalent atoms, fractional coordinates:
Zn (0.0000, 0.0000, 0.0000) (multiplicity 1)
Zn (0.0000, 0.5000, 0.4103) (multiplicity 1)
Ni (0.5000, 0.5000, 0.9162) (multiplicity 1)
Pt (0.5000, 0.0000, 0.5054) (multiplicity 1)

Output
The calculated formation energy comes out at -371.5 meV per atom. The calculated density comes out at 12.347 g/cm³. The density of states at the Fermi level comes out at 1.55 states/eV per cell.

3.
VASP calculation (meta-GGA SCAN) on a PBEsol-optimized structure of ZnNi6Pt.

Lattice parameters (Å, degrees): 7.1127 10.0667 10.0608 90.00 90.00 90.00
Space group Cmmm (No. 65)
Inequivalent atoms, fractional coordinates:
Zn (0.0000, 0.0000, 0.2472) (multiplicity 4)
Zn (0.0000, 0.2505, 0.0000) (multiplicity 4)
Ni (0.0000, 0.0000, 0.0000) (multiplicity 2)
Ni (0.0000, 0.0000, 0.5000) (multiplicity 2)
Ni (0.0000, 0.2486, 0.2473) (multiplicity 8)
Ni (0.0000, 0.5000, 0.0000) (multiplicity 2)
Ni (0.0000, 0.5000, 0.5000) (multiplicity 2)
Ni (0.2478, 0.1242, 0.3722) (multiplicity 16)
Ni (0.2478, 0.1256, 0.1227) (multiplicity 16)
Pt (0.0000, 0.2489, 0.5000) (multiplicity 4)
Pt (0.0000, 0.5000, 0.2478) (multiplicity 4)

Output
The calculated formation energy comes out at -111.9 meV per atom. The calculated density comes out at 11.298 g/cm³. The density of states at the Fermi level comes out at 50.60 states/eV per cell.

4.
VASP calculation (meta-GGA SCAN) on a PBEsol-optimized structure of ZnNi2Pt.

Lattice parameters (Å, degrees): 5.2490 7.0169 2.6473 90.00 90.00 90.00
Space group Cmmm (No. 65)
Inequivalent atoms, fractional coordinates:
Zn (0.0000, 0.0000, 0.0000) (multiplicity 2)
Ni (0.2500, 0.2500, 0.5000) (multiplicity 4)
Pt (0.0000, 0.5000, 0.0000) (multiplicity 2)

Output
The calculated formation energy comes out at -231.5 meV per atom. The calculated density comes out at 12.871 g/cm³. The density of states at the Fermi level comes out at 5.60 states/eV per cell.

5.
VASP calculation (meta-GGA SCAN) on a PBEsol-optimized structure of ZnNi2Pt.

Lattice parameters (Å, degrees): 4.3568 2.6814 4.3780 90.00 106.35 90.00
Space group P2/m (No. 10)
Inequivalent atoms, fractional coordinates:
Zn (0.0000, 0.0000, 0.0000) (multiplicity 1)
Ni (0.5000, 0.0000, 0.5000) (multiplicity 1)
Ni (0.5000, 0.5000, 0.0000) (multiplicity 1)
Pt (0.0000, 0.5000, 0.5000) (multiplicity 1)

Output
The calculated formation energy comes out at -228.6 meV per atom. The calculated density comes out at 12.785 g/cm³. The density of states at the Fermi level comes out at 2.66 states/eV per cell.

6.
VASP calculation (meta-GGA SCAN) on a PBEsol-optimized structure of Zn2NiPt.

Lattice parameters (Å, degrees): 2.8050 2.8050 6.4821 90.00 90.00 90.00
Space group P4/mmm (No. 123)
Inequivalent atoms, fractional coordinates:
Zn (0.0000, 0.0000, 0.2305) (multiplicity 2)
Ni (0.5000, 0.5000, 0.0000) (multiplicity 1)
Pt (0.5000, 0.5000, 0.5000) (multiplicity 1)

Output
The calculated formation energy comes out at -404.4 meV per atom. The calculated density comes out at 12.522 g/cm³. The density of states at the Fermi level comes out at 0.95 states/eV per cell.

7.
VASP calculation (meta-GGA SCAN) on a PBEsol-optimized structure of ZnNiPt2.

Lattice parameters (Å, degrees): 8.9677 2.7329 4.4962 90.00 103.57 90.00
Space group Cm (No. 8)
Inequivalent atoms, fractional coordinates:
Zn (0.0000, 0.0000, 0.0000) (multiplicity 2)
Ni (0.2627, 0.0000, 0.7191) (multiplicity 2)
Pt (0.0146, 0.5000, 0.5182) (multiplicity 2)
Pt (0.2527, 0.5000, 0.2133) (multiplicity 2)

Output
The calculated formation energy comes out at -315.7 meV per atom. The calculated density comes out at 15.945 g/cm³. The density of states at the Fermi level comes out at 3.34 states/eV per cell.

8.
VASP calculation (meta-GGA SCAN) on a PBEsol-optimized structure of ZnNi2Pt.

Lattice parameters (Å, degrees): 2.7225 4.2508 8.4281 90.00 90.00 90.00
Space group Imm2 (No. 44)
Inequivalent atoms, fractional coordinates:
Zn (0.0000, 0.0000, 0.0000) (multiplicity 2)
Ni (0.0000, 0.0000, 0.5223) (multiplicity 2)
Ni (0.0000, 0.5000, 0.2587) (multiplicity 2)
Pt (0.0000, 0.5000, 0.7621) (multiplicity 2)

Output
The calculated formation energy comes out at -171.3 meV per atom. The calculated density comes out at 12.867 g/cm³. The density of states at the Fermi level comes out at 6.31 states/eV per cell.

9.
VASP calculation (meta-GGA SCAN) on a PBEsol-optimized structure of ZnNiPt2.

Lattice parameters (Å, degrees): 8.6061 2.7264 4.6884 90.00 100.64 90.00
Space group C2/m (No. 12)
Inequivalent atoms, fractional coordinates:
Zn (0.0000, 0.0000, 0.0000) (multiplicity 2)
Ni (0.0000, 0.5000, 0.5000) (multiplicity 2)
Pt (0.2497, 0.0000, 0.7461) (multiplicity 4)

Output
The calculated formation energy comes out at -302.5 meV per atom. The calculated density comes out at 15.798 g/cm³. The density of states at the Fermi level comes out at 4.53 states/eV per cell.

10.
VASP calculation (meta-GGA SCAN) on a PBEsol-optimized structure of Zn2NiPt.

Lattice parameters (Å, degrees): 3.8787 3.8787 6.8272 90.00 90.00 90.00
Space group I4/mmm (No. 139)
Inequivalent atoms, fractional coordinates:
Zn (0.0000, 0.5000, 0.2500) (multiplicity 4)
Ni (0.0000, 0.0000, 0.0000) (multiplicity 2)
Pt (0.0000, 0.0000, 0.5000) (multiplicity 2)

Output
The calculated formation energy comes out at -454.7 meV per atom. The calculated density comes out at 12.436 g/cm³. The density of states at the Fermi level comes out at 2.47 states/eV per cell.

11.
VASP calculation (meta-GGA SCAN) on a PBEsol-optimized structure of ZnNi2Pt.

Lattice parameters (Å, degrees): 3.6952 3.6952 7.1587 90.00 90.00 90.00
Space group I4/mmm (No. 139)
Inequivalent atoms, fractional coordinates:
Zn (0.0000, 0.0000, 0.0000) (multiplicity 2)
Ni (0.0000, 0.5000, 0.2500) (multiplicity 4)
Pt (0.0000, 0.0000, 0.5000) (multiplicity 2)

Output
The calculated formation energy comes out at -223.8 meV per atom. The calculated density comes out at 12.839 g/cm³. The density of states at the Fermi level comes out at 5.53 states/eV per cell.

12.
VASP calculation (meta-GGA SCAN) on a PBEsol-optimized structure of ZnNiPt2.

Lattice parameters (Å, degrees): 5.5120 7.0311 2.7513 90.00 90.00 90.00
Space group Cmmm (No. 65)
Inequivalent atoms, fractional coordinates:
Zn (0.0000, 0.0000, 0.0000) (multiplicity 2)
Ni (0.0000, 0.5000, 0.0000) (multiplicity 2)
Pt (0.2500, 0.2500, 0.5000) (multiplicity 4)

Output
The calculated formation energy comes out at -387.0 meV per atom. The calculated density comes out at 16.018 g/cm³. The density of states at the Fermi level comes out at 4.19 states/eV per cell.